Computed, not measured: a geometry-optimized CaPr4Sm8 structure at the PBE-GGA level of DFT.

Unit cell a=9.4472 b=9.4472 c=9.4472 alpha=95.28 beta=95.28 gamma=144.67
With the nearest neighbours (Å) after each atom.
Positions (direct):
Ca (0.0000, 0.0000, 0.0000)  8 Sm 3.81, 4 Pr 4.16
Pr (0.7304, 0.1850, 0.9154)  8 Sm 3.34-3.69, 2 Pr 3.35
Pr (0.2696, 0.8150, 0.0846)  8 Sm 3.34-3.69, 2 Pr 3.35
Pr (0.1850, 0.2696, 0.4546)  8 Sm 3.34-3.69, 2 Pr 3.35
Pr (0.8150, 0.7304, 0.5454)  8 Sm 3.34-3.69, 2 Pr 3.35
Sm (0.6950, 0.4728, 0.1678)  5 Sm 3.41-3.78, 4 Pr 3.62-3.69, 2 Ca 3.81
Sm (0.3050, 0.5272, 0.8322)  5 Sm 3.41-3.78, 4 Pr 3.62-3.69, 2 Ca 3.81
Sm (0.4728, 0.3050, 0.7778)  5 Sm 3.41-3.78, 4 Pr 3.62-3.69, 2 Ca 3.81
Sm (0.5272, 0.6950, 0.2222)  5 Sm 3.41-3.78, 4 Pr 3.62-3.69, 2 Ca 3.81
Sm (0.9423, 0.3689, 0.3112)  4 Pr 3.34-3.68, 2 Sm 3.41-3.65
Sm (0.0577, 0.6311, 0.6888)  4 Pr 3.34-3.68, 2 Sm 3.41-3.65
Sm (0.3689, 0.0577, 0.4267)  4 Pr 3.34-3.68, 2 Sm 3.41-3.65
Sm (0.6311, 0.9423, 0.5733)  4 Pr 3.34-3.68, 2 Sm 3.41-3.65

Properties
Energy of formation from the pure elements, eV/atom: 0.096
Spin magnetization, μB per atom: 0.00
Symmetry: I4/m, No. 87
Density, Mg/m³: 6.5